Record 1
{
  "formula": "SbMo2",
  "functional": "PBE",
  "state": "optimized geometry",
  "dos_at_fermi_per_ev_atom": 1.2573,
  "raw_formation_energy_kcal_per_mol_atoms": 12.964,
  "polymorph_energy_mev_per_atom": 362,
  "cell": [[-3.108, 3.108, 2.880], [3.108, -3.108, 2.880], [3.108, 3.108, -2.880]],
  "species": ["Mo", "Mo", "Mo", "Mo", "Sb", "Sb"],
  "fractional_positions": [[0.137, 0.637, 0.774], [0.637, 0.863, 0.500], [0.363, 0.137, 0.500], [0.863, 0.363, 0.226], [0.750, 0.750, 0.000], [0.250, 0.250, 0.000]]
}

=====

Record 2
{
  "formula": "Cs2LaSnS4",
  "functional": "PBE",
  "state": "optimized geometry",
  "dos_at_fermi_per_ev_atom": 0.3141,
  "raw_formation_energy_kcal_per_mol_atoms": -27.676,
  "cell": [[-4.847, -0.626, 7.455], [1.692, -8.746, 0.303], [6.700, 5.742, -0.394]],
  "species": ["S", "S", "S", "S", "S", "S", "S", "S", "Cs", "Cs", "Cs", "Cs", "Sn", "Sn", "La", "La"],
  "fractional_positions": [[0.767, 0.313, 0.540], [0.187, 0.733, 0.960], [0.813, 0.267, 0.040], [0.234, 0.266, 0.449], [0.766, 0.734, 0.551], [0.233, 0.687, 0.460], [0.766, 0.734, 0.949], [0.234, 0.266, 0.051], [0.500, 0.000, 0.500], [0.000, 0.000, 0.500], [0.500, 0.000, 0.000], [0.500, 0.500, 0.000], [0.500, 0.500, 0.500], [0.000, 0.000, 0.000], [0.000, 0.500, 0.500], [0.000, 0.500, 0.000]]
}

=====

Record 3
{
  "formula": "SrAl2Cr",
  "functional": "PBE",
  "state": "optimized geometry",
  "dos_at_fermi_per_ev_atom": 0.4772,
  "formation_enthalpy_0k_ev_per_atom": 0.3479,
  "polymorph_energy_mev_per_atom": 346,
  "cell": [[-1.138, -4.204, -0.074], [0.414, -0.189, 4.332], [-4.517, 1.214, 0.485]],
  "species": ["Cr", "Sr", "Al", "Al"],
  "fractional_positions": [[0.500, 0.000, 0.500], [0.000, 0.500, 0.500], [0.500, 0.500, 0.000], [0.000, 0.000, 0.000]]
}

=====

no.,calculated total energy (eV/atom),calculated density (Mg/m³)
1,-8.03,9.36
2,-4.59,4.33
3,-4.35,3.60